This record from the Alexandria database describes a crystal of Sn3BiF relaxed with PBEsol. The functional is meta-GGA SCAN.

Structure (CIF):
```
data_Sn3BiF
_chemical_formula_sum 'Sn3 Bi1 F1'
_cell_length_a 4.9982
_cell_length_b 4.9982
_cell_length_c 4.9982
_cell_angle_alpha 90.00
_cell_angle_beta 90.00
_cell_angle_gamma 90.00
_space_group_name_H-M_alt 'P m -3 m'
_space_group_IT_number 221
_space_group_name_Hall '-P 4 2 3'
loop_
_atom_site_label
_atom_site_type_symbol
_atom_site_fract_x
_atom_site_fract_y
_atom_site_fract_z
_atom_site_occupancy
Sn1 Sn 0.0000 0.0000 0.5000 1
Bi1 Bi 0.5000 0.5000 0.5000 1
F1 F 0.0000 0.0000 0.0000 1
```

D(E_F): 2.96 states/eV/cell
magnetization: 0.000 Bohr magnetons per cell
energy relative to the elements, uncorrected: -254 meV per atom
crystal system: cubic

This record from the Alexandria database describes a crystal of Sr7CaTi7MnO24 relaxed with PBEsol. The functional is meta-GGA SCAN.

Structure (CIF):
```
data_Sr7CaTi7MnO24
_chemical_formula_sum 'Sr21 Ca3 Ti21 Mn3 O72'
_cell_length_a 10.9632
_cell_length_b 10.9632
_cell_length_c 13.4375
_cell_angle_alpha 90.00
_cell_angle_beta 90.00
_cell_angle_gamma 120.00
_space_group_name_H-M_alt 'R 3 m'
_space_group_IT_number 160
_space_group_name_Hall 'R 3 -2"'
loop_
_atom_site_label
_atom_site_type_symbol
_atom_site_fract_x
_atom_site_fract_y
_atom_site_fract_z
_atom_site_occupancy
Sr1 Sr 0.0000 0.0000 0.0000 1
Sr2 Sr 0.0009 0.5004 0.9981 1
Sr3 Sr 0.1674 0.3349 0.8327 1
Ca1 Ca 0.0000 0.0000 0.4875 1
Ti1 Ti 0.0000 0.0000 0.7467 1
Ti2 Ti 0.0000 0.5000 0.7488 1
Ti3 Ti 0.0010 0.5005 0.2479 1
Mn1 Mn 0.0000 0.0000 0.2497 1
O1 O 0.0005 0.2518 0.0012 1
O2 O 0.0820 0.1640 0.1691 1
O3 O 0.0837 0.1674 0.6689 1
O4 O 0.0864 0.4191 0.1676 1
O5 O 0.1613 0.0806 0.3340 1
O6 O 0.1672 0.0836 0.8354 1
```

D(E_F): 0.00 states/eV/cell
magnetization: 9.100 Bohr magnetons per cell
energy relative to the elements, uncorrected: -3364 meV per atom
crystal system: trigonal

This record from the Alexandria database describes a crystal of Al2CuCl relaxed with PBEsol. The functional is meta-GGA SCAN.

Structure (CIF):
```
data_Al2CuCl
_chemical_formula_sum 'Al4 Cu2 Cl2'
_cell_length_a 4.5461
_cell_length_b 2.8487
_cell_length_c 9.9614
_cell_angle_alpha 90.00
_cell_angle_beta 90.00
_cell_angle_gamma 90.00
_space_group_name_H-M_alt 'A m m 2'
_space_group_IT_number 38
loop_
_space_group_symop_operation_xyz
'x,y,z'
'-x,-y,z'
'-x,y,z'
'x,-y,z'
'x,y+1/2,z+1/2'
'-x,-y+1/2,z+1/2'
'-x,y+1/2,z+1/2'
'x,-y+1/2,z+1/2'
loop_
_atom_site_label
_atom_site_type_symbol
_atom_site_fract_x
_atom_site_fract_y
_atom_site_fract_z
_atom_site_occupancy
Al1 Al 0.0000 0.0000 0.0000 1
Al2 Al 0.5000 0.0000 0.2575 1
Cu1 Cu 0.5000 0.0000 0.5221 1
Cl1 Cl 0.0000 0.0000 0.7660 1
```

D(E_F): 1.55 states/eV/cell
magnetization: 0.000 Bohr magnetons per cell
energy relative to the elements, uncorrected: -48 meV per atom
crystal system: orthorhombic